1.
# TcGe3

Crystalline TcGe3 at its relaxed geometry (PBE-GGA, Alexandria via LeMat-Bulk).

- energy relative to the lowest polymorph listed for this composition (meV per atom) = 474
- DFT formation energy (meV/atom) = 401
- VASP energy (hartree per atom) = -0.208
- density of states at the Fermi level (states/eV per cell) = 3.39
- M_tot (Bohr magnetons per cell) = 0.0

Lattice parameters (Å, degrees): 4.8637 4.8637 4.8637 130.64 130.64 72.38
With the nearest neighbours (Å) after each atom.
Sites, in units of the cell vectors:
Tc: 0.0000 0.0000 0.0000  12 Ge 2.82-2.87
Ge: 0.7500 0.2500 0.5000  8 Ge 2.82-2.87, 4 Tc 2.82
Ge: 0.2500 0.7500 0.5000  8 Ge 2.82-2.87, 4 Tc 2.82
Ge: 0.5000 0.5000 0.0000  8 Ge 2.82, 4 Tc 2.87


2.
# Tc5Ge7

Crystalline Tc5Ge7 at its relaxed geometry (PBE-GGA, Alexandria via LeMat-Bulk).

- DFT formation energy (meV/atom) = -32
- VASP energy (hartree per atom) = -0.259
- density of states at the Fermi level (states/eV per cell) = 6.59
- M_tot (Bohr magnetons per cell) = 0.0

Lattice parameters (Å, degrees): 2.9914 6.0264 11.1707 97.00 90.00 104.37
With the nearest neighbours (Å) after each atom.
Sites, in units of the cell vectors:
Tc: 0.1605 0.3209 0.4343  6 Ge 2.55-2.58, 2 Tc 2.83
Ge: 0.9787 0.9575 0.7607  4 Tc 2.55-2.65
Ge: 0.3236 0.6472 0.9327  5 Tc 2.56-2.62, 2 Ge 2.85
Tc: 0.8395 0.6791 0.5657  6 Ge 2.55-2.58, 2 Tc 2.83
Ge: 0.2021 0.4043 0.6653  5 Tc 2.55-2.56
Tc: 0.3481 0.6963 0.1633  7 Ge 2.56-2.62
Tc: 0.0000 0.0000 0.0000  6 Ge 2.58-2.65
Tc: 0.6519 0.3037 0.8367  7 Ge 2.56-2.62
Ge: 0.6764 0.3528 0.0673  5 Tc 2.56-2.62, 2 Ge 2.85
Ge: 0.0213 0.0425 0.2393  4 Tc 2.55-2.65
Ge: 0.5000 0.0000 0.5000  4 Tc 2.58
Ge: 0.7979 0.5957 0.3347  5 Tc 2.55-2.56


3.
# TcGe3

Crystalline TcGe3 at its relaxed geometry (PBE-GGA, Alexandria via LeMat-Bulk).

- energy relative to the lowest polymorph listed for this composition (meV per atom) = 0
- DFT formation energy (meV/atom) = -73
- VASP energy (hartree per atom) = -0.225
- density of states at the Fermi level (states/eV per cell) = 3.03
- M_tot (Bohr magnetons per cell) = 0.0

Lattice parameters (Å, degrees): 3.3591 4.8595 8.5724 90.00 90.00 110.22
With the nearest neighbours (Å) after each atom.
Sites, in units of the cell vectors:
Ge: 0.5606 0.1213 0.2500  3 Tc 2.56-2.63
Ge: 0.1357 0.2715 0.9697  3 Ge 2.53-2.73, 3 Tc 2.66-2.71
Tc: 0.7275 0.4549 0.7500  9 Ge 2.56-2.71
Tc: 0.2725 0.5451 0.2500  9 Ge 2.56-2.71
Ge: 0.8643 0.7285 0.4697  3 Ge 2.53-2.73, 3 Tc 2.66-2.71
Ge: 0.8643 0.7285 0.0303  3 Ge 2.53-2.73, 3 Tc 2.66-2.71
Ge: 0.1357 0.2715 0.5303  3 Ge 2.53-2.73, 3 Tc 2.66-2.71
Ge: 0.4394 0.8787 0.7500  3 Tc 2.56-2.63


4.
# TcGe2

Crystalline TcGe2 at its relaxed geometry (PBE-GGA, Alexandria via LeMat-Bulk).

- DFT formation energy (meV/atom) = -55
- VASP energy (hartree per atom) = -0.242
- density of states at the Fermi level (states/eV per cell) = 2.23
- M_tot (Bohr magnetons per cell) = 0.0

Lattice parameters (Å, degrees): 3.2936 3.2936 4.7991 110.11 110.11 90.11
With the nearest neighbours (Å) after each atom.
Sites, in units of the cell vectors:
Ge: 0.8385 0.8385 0.6768  5 Tc 2.69-2.84, 5 Ge 2.71-2.76
Tc: 0.5000 0.5000 0.0000  10 Ge 2.69-2.84
Ge: 0.1615 0.1615 0.3232  5 Tc 2.69-2.84, 5 Ge 2.71-2.76


5.
# TcGe3

Crystalline TcGe3 at its relaxed geometry (PBE-GGA, Alexandria via LeMat-Bulk).

- energy relative to the lowest polymorph listed for this composition (meV per atom) = 42
- DFT formation energy (meV/atom) = -31
- VASP energy (hartree per atom) = -0.224
- density of states at the Fermi level (states/eV per cell) = 1.61
- M_tot (Bohr magnetons per cell) = 0.0

Lattice parameters (Å, degrees): 3.1507 5.6324 5.0059 124.23 108.34 90.00
With the nearest neighbours (Å) after each atom.
Sites, in units of the cell vectors:
Tc: 0.0000 0.0933 0.0000  8 Ge 2.51-2.69
Ge: 0.5000 0.4392 0.0000  2 Tc 2.51, 2 Ge 2.58
Ge: 0.3106 0.6277 0.6212  1 Ge 2.58, 3 Tc 2.65-2.69
Ge: 0.6894 0.0065 0.3788  1 Ge 2.58, 3 Tc 2.65-2.69


6.
# TcGe4

Crystalline TcGe4 at its relaxed geometry (PBE-GGA, Alexandria via LeMat-Bulk).

- DFT formation energy (meV/atom) = 484
- VASP energy (hartree per atom) = -0.194
- density of states at the Fermi level (states/eV per cell) = 4.52
- M_tot (Bohr magnetons per cell) = 1.3

Lattice parameters (Å, degrees): 4.8307 4.8307 4.8307 90.00 90.00 90.00
With the nearest neighbours (Å) after each atom.
Sites, in units of the cell vectors:
Ge: 0.0000 0.0000 0.0000  12 Ge 3.42
Ge: 0.0000 0.5000 0.5000  2 Tc 2.42
Tc: 0.5000 0.5000 0.5000  6 Ge 2.42
Ge: 0.5000 0.5000 0.0000  2 Tc 2.42
Ge: 0.5000 0.0000 0.5000  2 Tc 2.42


Repeat the second record exactly.
# Tc5Ge7

Crystalline Tc5Ge7 at its relaxed geometry (PBE-GGA, Alexandria via LeMat-Bulk).

- DFT formation energy (meV/atom) = -32
- VASP energy (hartree per atom) = -0.259
- density of states at the Fermi level (states/eV per cell) = 6.59
- M_tot (Bohr magnetons per cell) = 0.0

Lattice parameters (Å, degrees): 2.9914 6.0264 11.1707 97.00 90.00 104.37
With the nearest neighbours (Å) after each atom.
Sites, in units of the cell vectors:
Tc: 0.1605 0.3209 0.4343  6 Ge 2.55-2.58, 2 Tc 2.83
Ge: 0.9787 0.9575 0.7607  4 Tc 2.55-2.65
Ge: 0.3236 0.6472 0.9327  5 Tc 2.56-2.62, 2 Ge 2.85
Tc: 0.8395 0.6791 0.5657  6 Ge 2.55-2.58, 2 Tc 2.83
Ge: 0.2021 0.4043 0.6653  5 Tc 2.55-2.56
Tc: 0.3481 0.6963 0.1633  7 Ge 2.56-2.62
Tc: 0.0000 0.0000 0.0000  6 Ge 2.58-2.65
Tc: 0.6519 0.3037 0.8367  7 Ge 2.56-2.62
Ge: 0.6764 0.3528 0.0673  5 Tc 2.56-2.62, 2 Ge 2.85
Ge: 0.0213 0.0425 0.2393  4 Tc 2.55-2.65
Ge: 0.5000 0.0000 0.5000  4 Tc 2.58
Ge: 0.7979 0.5957 0.3347  5 Tc 2.55-2.56


Which value of DFT formation energy does entry 6 give? 484 meV/atom